# 1
DFT (PBE) results for an optimized crystal structure of LiFeSi2C.

abc: 4.0932 3.7835 4.0932
angles: 90.00 90.00 90.00
Element x y z (fractional)
C (0.5000, 0.5000, 0.5000)
Si (0.0000, 0.0000, 0.5000)
Si (0.5000, 0.0000, 0.0000)
Fe (0.0000, 0.5000, 0.0000)
Li (0.0000, 0.0000, 0.0000)

Its crystal system is tetragonal. The total magnetic moment is 0.00 μB/f.u. The uncorrected formation energy is 1.99 eV per atom.

***

# 2
DFT (PBE) results for an optimized crystal structure of LiTaFe2C.

abc: 3.7631 4.2397 3.7631
angles: 90.00 90.00 90.00
Element x y z (fractional)
C (0.0000, 0.0000, 0.0000)
Li (0.5000, 0.5000, 0.5000)
Fe (0.0000, 0.0000, 0.5000)
Fe (0.5000, 0.0000, 0.0000)
Ta (0.0000, 0.5000, 0.0000)

The calculation puts the formation energy at 0.84 eV/f.u. Its crystal system is tetragonal. The total magnetic moment is 1.45 μB/f.u.

***

# 3
DFT (PBE) results for an optimized crystal structure of LiTb2FeC.

abc: 3.6772 5.0199 5.0199
angles: 90.00 90.00 90.00
Element x y z (fractional)
Li (0.5000, 0.5000, 0.5000)
Tb (0.0000, 0.0000, 0.5000)
Tb (0.0000, 0.5000, 0.0000)
Fe (0.5000, 0.0000, 0.0000)
C (0.0000, 0.0000, 0.0000)

The calculation puts the formation energy at -0.84 eV/f.u. Its crystal system is tetragonal. The total magnetic moment is 0.00 μB/f.u.

***

# 4
DFT (PBE) results for an optimized crystal structure of LiTm2FeC.

abc: 3.6627 4.8950 4.8950
angles: 90.00 90.00 90.00
Element x y z (fractional)
Li (0.5000, 0.5000, 0.5000)
Tm (0.0000, 0.0000, 0.5000)
Tm (0.0000, 0.5000, 0.0000)
Fe (0.5000, 0.0000, 0.0000)
C (0.0000, 0.0000, 0.0000)

The calculation puts the formation energy at -1.06 eV/f.u. Its crystal system is tetragonal. The total magnetic moment is 0.00 μB/f.u.

***

Look up the total magnetic moment of the fourth one.
0.00 μB/f.u.